Computed, not measured: a geometry-optimized TlRuSe2 structure at the PBE level of DFT.

Calculated values
The value obtained for the total DFT energy (no corrections) is -4.624 eV per atom. The distance to the lowest polymorph of the same formula comes out at 0.91 eV per formula unit.

a b c (Å): 6.162 6.162 5.904
angles (deg): 65.78 65.78 29.34
Element x y z (fractional)
1 Se 0.923 0.923 0.126
2 Se 0.737 0.737 0.805
3 Ru 0.282 0.282 0.070
4 Tl 0.558 0.558 0.498